VASP calculation (PBE) on a geometry-optimized YRu3S structure.

Total magnetization, μB per cell: 5.476
Crystal system: cubic
Energy relative to the lowest polymorph listed for this composition, meV per atom: 2386
Uncorrected energy, eV per formula unit: -27.36
DOS(E_F), states/eV/atom: 0.94
Space group: Pm-3m, No. 221

Lattice parameters (Å, degrees): 4.943 4.943 4.943 90.00 90.00 90.00
Last column: magnetic moment on the atom in μB.
Fractional coordinates of all 5 atoms:
Y  0.000  0.000  0.000  -0.20
S  0.500  0.500  0.500  0.20
Ru  0.000  0.500  0.000  1.85
Ru  0.000  0.000  0.500  1.56
Ru  0.500  0.000  0.000  1.85


VASP calculation (PBE) on a geometry-optimized Er2Zn3Pd4 structure.

Total magnetization, μB per cell: 0.000
Crystal system: orthorhombic
E_form, eV/atom: -0.7345
Uncorrected energy, eV per formula unit: -40.33
DOS(E_F), states/eV/atom: 0.42
Space group: Cmce, No. 64

Lattice parameters (Å, degrees): 5.579 7.640 7.988 90.00 110.44 90.00
Fractional coordinates of all 18 atoms:
Zn  0.978  0.250  0.455
Zn  0.000  0.000  0.000
Zn  0.522  0.750  0.545
Zn  0.022  0.750  0.545
Zn  0.478  0.250  0.455
Zn  0.500  0.500  0.000
Er  0.613  0.919  0.225
Er  0.113  0.581  0.225
Er  0.387  0.081  0.775
Er  0.887  0.419  0.775
Pd  0.306  0.250  0.111
Pd  0.694  0.750  0.889
Pd  0.823  0.024  0.646
Pd  0.177  0.976  0.354
Pd  0.806  0.250  0.111
Pd  0.194  0.750  0.889
Pd  0.677  0.524  0.354
Pd  0.323  0.476  0.646